Entry 1:
GGA-PBE DyBi2Pd7, relaxed; formation energy from the elements = -184 meV/atom; symmetry = Cmmm (65); crystal system = orthorhombic; V = 22.66 Å³ per atom
1.0
-0.275 4.119 0.439
-8.149 -0.607 0.581
5.262 -0.317 6.272
Pd Bi Dy
7 2 1
Cartesian
0.665 1.919 2.040 Pd
-3.828 1.276 5.252 Pd
-1.165 1.333 6.382 Pd
-5.528 -0.550 1.693 Pd
2.640 -0.374 5.159 Pd
-1.998 1.861 0.910 Pd
-1.582 1.597 3.646 Pd
-4.123 1.543 2.567 Bi
0.960 1.652 4.724 Bi
0.000 0.000 0.000 Dy

***

Entry 2:
GGA-PBE ScCd4Ag5, relaxed; formation energy from the elements = -106 meV/atom; symmetry = P4/mmm (123); crystal system = tetragonal; V = 19.53 Å³ per atom
1.0
3.441 0.000 0.000
0.000 3.441 0.000
0.000 0.000 16.501
Ag Cd Sc
5 4 1
Cartesian
1.720 1.720 14.874 Ag
1.720 1.720 11.524 Ag
1.720 1.720 1.628 Ag
1.720 1.720 8.251 Ag
1.720 1.720 4.978 Ag
0.000 0.000 9.898 Cd
0.000 0.000 6.604 Cd
0.000 0.000 3.285 Cd
0.000 0.000 13.216 Cd
0.000 0.000 0.000 Sc

***

Entry 3:
GGA-PBE P5Ir, relaxed; formation energy from the elements = 416 meV/atom; symmetry = P4/mmm (123); crystal system = tetragonal; V = 17.98 Å³ per atom
1.0
-0.375 0.924 3.063
-3.134 -0.723 -0.166
2.067 -9.684 3.173
P Ir
5 1
Cartesian
0.229 -1.075 0.352 P
-0.940 -3.717 2.699 P
-0.502 -5.767 3.371 P
1.838 -8.609 2.821 P
1.034 -4.842 1.586 P
-1.755 0.100 1.449 Ir